[1]
Entry from the Alexandria database: MgCu6 after structural relaxation (GGA-PBE).

POSCAR file:
```
MgCu6
1.0
5.615 0.000 0.000
0.000 5.615 0.000
0.000 0.000 5.615
Mg Cu
1 6
Direct
0.000 0.000 0.000 Mg
0.200 0.500 0.500 Cu
0.500 0.200 0.500 Cu
0.500 0.500 0.200 Cu
0.500 0.500 0.800 Cu
0.500 0.800 0.500 Cu
0.800 0.500 0.500 Cu
```

## Properties
- energy relative to the lowest polymorph listed for this composition (meV/atom) = 927.2
- ΔH_f (0 K) (kJ per mole of atoms) = 91
- space group = Pm-3m


[2]
Entry from the Alexandria database: NpFeOs2 after structural relaxation (GGA-PBE).

POSCAR file:
```
NpFeOs2
1.0
3.971 0.000 0.000
0.000 3.971 0.000
0.000 0.000 3.903
Np Fe Os
1 1 2
Direct
0.000 0.000 0.000 Np
0.500 0.500 0.000 Fe
0.000 0.500 0.500 Os
0.500 0.000 0.500 Os
```

## Properties
- ΔH_f (0 K) (kJ per mole of atoms) = 6
- space group = P4/mmm


[3]
Entry from the Alexandria database: La2PmP after structural relaxation (GGA-PBE).

POSCAR file:
```
La2PmP
1.0
2.000 1.154 9.681
-2.000 1.154 9.681
0.000 -2.309 9.681
La Pm P
2 1 1
Direct
0.000 0.000 0.000 La
0.212 0.212 0.212 La
0.439 0.439 0.439 Pm
0.606 0.606 0.606 P
```

## Properties
- energy relative to the lowest polymorph listed for this composition (meV/atom) = 0.0
- ΔH_f (0 K) (kJ per mole of atoms) = -64
- space group = R3m


[4]
Entry from the Alexandria database: Tb2CeDy4Sc after structural relaxation (GGA-PBE).

POSCAR file:
```
Tb2CeDy4Sc
1.0
6.052 0.000 0.000
0.000 3.509 0.000
-2.027 0.000 11.476
Tb Ce Dy Sc
2 1 4 1
Direct
0.000 0.000 0.000 Tb
0.500 0.500 0.000 Tb
0.000 0.500 0.500 Ce
0.247 0.000 0.746 Dy
0.252 0.500 0.256 Dy
0.748 0.500 0.744 Dy
0.753 0.000 0.254 Dy
0.500 0.000 0.500 Sc
```

## Properties
- ΔH_f (0 K) (kJ per mole of atoms) = 5
- space group = P2/m


[5]
Entry from the Alexandria database: LaMg2Re after structural relaxation (GGA-PBE).

POSCAR file:
```
LaMg2Re
1.0
1.720 -2.503 0.000
1.720 2.503 0.000
0.000 0.000 10.193
La Mg Re
1 2 1
Direct
0.000 0.000 0.000 La
0.000 0.000 0.437 Mg
0.500 0.500 0.694 Mg
0.500 0.500 0.229 Re
```

## Properties
- energy relative to the lowest polymorph listed for this composition (meV/atom) = 73.1
- ΔH_f (0 K) (kJ per mole of atoms) = 36
- space group = Cmm2


[6]
Entry from the Alexandria database: In3Te after structural relaxation (GGA-PBE).

POSCAR file:
```
In3Te
1.0
0.000 3.909 3.909
3.909 0.000 3.909
3.909 3.909 0.000
In Te
3 1
Direct
0.000 0.000 0.000 In
0.250 0.250 0.250 In
0.750 0.750 0.750 In
0.500 0.500 0.500 Te
```

## Properties
- space group = Fm-3m
- formation energy (no corrections) (eV/atom) = 0.013